Record 1
# AcDyAg (PBE, optimized geometry)
# Calculated formation energy (eV/atom): 0.645
# Relative energy among the computed polymorphs (eV/f.u.): 0.500
# Space group: F-43m (216)
data_AcDyAg
_chemical_formula_sum 'Ac1 Dy1 Ag1'
_space_group_name_H-M_alt 'P 1'
_space_group_IT_number 1
_cell_length_a 5.214
_cell_length_b 5.214
_cell_length_c 5.214
_cell_angle_alpha 60.00
_cell_angle_beta 60.00
_cell_angle_gamma 60.00
loop_
_space_group_symop_operation_xyz
'x,y,z'
loop_
_atom_site_label
_atom_site_type_symbol
_atom_site_fract_x
_atom_site_fract_y
_atom_site_fract_z
Ac1 Ac 0.000 0.000 0.000
Dy1 Dy 0.250 0.250 0.250
Ag1 Ag 0.750 0.750 0.750

***

Record 2
# AcErAg (PBE, optimized geometry)
# Calculated formation energy (eV/atom): 0.669
# Relative energy among the computed polymorphs (eV/f.u.): 1.791
# Space group: F-43m (216)
data_AcErAg
_chemical_formula_sum 'Ac1 Er1 Ag1'
_space_group_name_H-M_alt 'P 1'
_space_group_IT_number 1
_cell_length_a 5.222
_cell_length_b 5.222
_cell_length_c 5.222
_cell_angle_alpha 60.00
_cell_angle_beta 60.00
_cell_angle_gamma 60.00
loop_
_space_group_symop_operation_xyz
'x,y,z'
loop_
_atom_site_label
_atom_site_type_symbol
_atom_site_fract_x
_atom_site_fract_y
_atom_site_fract_z
Ac1 Ac 0.000 0.000 0.000
Er1 Er 0.250 0.250 0.250
Ag1 Ag 0.750 0.750 0.750

***

Record 3
# AcErAg (PBE, optimized geometry)
# Calculated formation energy (eV/atom): 0.072
# Relative energy among the computed polymorphs (eV/f.u.): 0.000
# Space group: F-43m (216)
data_AcErAg
_chemical_formula_sum 'Ac1 Er1 Ag1'
_space_group_name_H-M_alt 'P 1'
_space_group_IT_number 1
_cell_length_a 5.240
_cell_length_b 5.240
_cell_length_c 5.240
_cell_angle_alpha 60.00
_cell_angle_beta 60.00
_cell_angle_gamma 60.00
loop_
_space_group_symop_operation_xyz
'x,y,z'
loop_
_atom_site_label
_atom_site_type_symbol
_atom_site_fract_x
_atom_site_fract_y
_atom_site_fract_z
Ac1 Ac 0.000 0.000 0.000
Er1 Er 0.500 0.500 0.500
Ag1 Ag 0.250 0.250 0.250

***

Record 4
# AcFeAg (PBE, optimized geometry)
# Calculated formation energy (eV/atom): 0.441
# Relative energy among the computed polymorphs (eV/f.u.): 0.000
# Space group: F-43m (216)
data_AcFeAg
_chemical_formula_sum 'Ac1 Fe1 Ag1'
_space_group_name_H-M_alt 'P 1'
_space_group_IT_number 1
_cell_length_a 4.765
_cell_length_b 4.765
_cell_length_c 4.765
_cell_angle_alpha 60.00
_cell_angle_beta 60.00
_cell_angle_gamma 60.00
loop_
_space_group_symop_operation_xyz
'x,y,z'
loop_
_atom_site_label
_atom_site_type_symbol
_atom_site_fract_x
_atom_site_fract_y
_atom_site_fract_z
Ac1 Ac 0.000 0.000 0.000
Fe1 Fe 0.250 0.250 0.250
Ag1 Ag 0.500 0.500 0.500

***

Record 5
# AcFeAg (PBE, optimized geometry)
# Calculated formation energy (eV/atom): 0.948
# Relative energy among the computed polymorphs (eV/f.u.): 1.522
# Space group: F-43m (216)
data_AcFeAg
_chemical_formula_sum 'Ac1 Fe1 Ag1'
_space_group_name_H-M_alt 'P 1'
_space_group_IT_number 1
_cell_length_a 4.905
_cell_length_b 4.905
_cell_length_c 4.905
_cell_angle_alpha 60.00
_cell_angle_beta 60.00
_cell_angle_gamma 60.00
loop_
_space_group_symop_operation_xyz
'x,y,z'
loop_
_atom_site_label
_atom_site_type_symbol
_atom_site_fract_x
_atom_site_fract_y
_atom_site_fract_z
Ac1 Ac 0.000 0.000 0.000
Fe1 Fe 0.250 0.250 0.250
Ag1 Ag 0.750 0.750 0.750

***

Record 6
# Ac2Ga7Ag (PBE, optimized geometry)
# Raw total energy (eV/atom): -3.712
# Space group: P-4m2 (115)
data_Ac2Ga7Ag
_chemical_formula_sum 'Ac2 Ga7 Ag1'
_space_group_name_H-M_alt 'P 1'
_space_group_IT_number 1
_cell_length_a 4.556
_cell_length_b 4.556
_cell_length_c 10.546
_cell_angle_alpha 90.00
_cell_angle_beta 90.00
_cell_angle_gamma 90.00
loop_
_space_group_symop_operation_xyz
'x,y,z'
loop_
_atom_site_label
_atom_site_type_symbol
_atom_site_fract_x
_atom_site_fract_y
_atom_site_fract_z
Ac1 Ac 0.000 0.500 0.250
Ac2 Ac 0.500 0.000 0.750
Ga1 Ga 0.000 0.000 0.000
Ga2 Ga 0.000 0.000 0.500
Ga3 Ga 0.000 0.500 0.629
Ga4 Ga 0.000 0.500 0.869
Ga5 Ga 0.500 0.000 0.131
Ga6 Ga 0.500 0.000 0.371
Ga7 Ga 0.500 0.500 0.500
Ag1 Ag 0.500 0.500 0.000

***

Record 7
# Ac2Ga5Ag3 (PBE, optimized geometry)
# Raw total energy (eV/atom): -3.630
# Space group: Ibam (72)
data_Ac2Ga5Ag3
_chemical_formula_sum 'Ac4 Ga10 Ag6'
_space_group_name_H-M_alt 'P 1'
_space_group_IT_number 1
_cell_length_a 9.027
_cell_length_b 9.027
_cell_length_c 9.027
_cell_angle_alpha 106.35
_cell_angle_beta 88.12
_cell_angle_gamma 138.71
loop_
_space_group_symop_operation_xyz
'x,y,z'
loop_
_atom_site_label
_atom_site_type_symbol
_atom_site_fract_x
_atom_site_fract_y
_atom_site_fract_z
Ac1 Ac 0.127 0.238 0.365
Ac2 Ac 0.373 0.738 0.110
Ac3 Ac 0.627 0.262 0.890
Ac4 Ac 0.873 0.762 0.635
Ga1 Ga 0.021 0.750 0.271
Ga2 Ga 0.119 0.645 0.763
Ga3 Ga 0.250 0.250 0.000
Ga4 Ga 0.381 0.145 0.526
Ga5 Ga 0.479 0.750 0.729
Ga6 Ga 0.521 0.250 0.271
Ga7 Ga 0.619 0.855 0.474
Ga8 Ga 0.750 0.750 0.000
Ga9 Ga 0.881 0.355 0.237
Ga10 Ga 0.979 0.250 0.729
Ag1 Ag 0.134 0.885 0.020
Ag2 Ag 0.250 0.750 0.500
Ag3 Ag 0.366 0.385 0.751
Ag4 Ag 0.634 0.615 0.249
Ag5 Ag 0.750 0.250 0.500
Ag6 Ag 0.866 0.115 0.980

***

Record 8
# Ac3Ag2Ge4 (PBE, optimized geometry)
# Raw total energy (eV/atom): -4.688
# Space group: C2/m (12)
data_Ac3Ag2Ge4
_chemical_formula_sum 'Ac3 Ag2 Ge4'
_space_group_name_H-M_alt 'P 1'
_space_group_IT_number 1
_cell_length_a 6.330
_cell_length_b 6.330
_cell_length_c 8.936
_cell_angle_alpha 100.58
_cell_angle_beta 100.58
_cell_angle_gamma 42.31
loop_
_space_group_symop_operation_xyz
'x,y,z'
loop_
_atom_site_label
_atom_site_type_symbol
_atom_site_fract_x
_atom_site_fract_y
_atom_site_fract_z
Ac1 Ac 0.000 0.000 0.000
Ac2 Ac 0.337 0.337 0.331
Ac3 Ac 0.663 0.663 0.669
Ag1 Ag 0.387 0.387 0.720
Ag2 Ag 0.613 0.613 0.280
Ge1 Ge 0.062 0.062 0.395
Ge2 Ge 0.284 0.284 0.953
Ge3 Ge 0.716 0.716 0.047
Ge4 Ge 0.938 0.938 0.605